(1)
VASP calculation (PBE) on an optimized crystal structure of La2Nd3Tm7.

The crystal system is monoclinic. Its distance to the lowest polymorph of the same formula is 0 meV/atom. The calculated volume comes out at 32.7 A^3/atom. The uncorrected energy is -54.28 eV per cell.

It has space group P2/m (No. 10), with a = 6.370 Å, b = 3.532 Å, c = 17.557 Å, α = 90.00°, β = 96.35° and γ = 90.00°. The asymmetric unit holds La at (0.051, 0.000, 0.174), Nd at (0.459, 0.500, 0.841), Nd at (0.500, 0.000, 0.500), Tm at (0.000, 0.500, 0.500), Tm at (0.226, 0.000, 0.663), Tm at (0.255, 0.000, 0.001) and Tm at (0.274, 0.500, 0.338).


(2)
VASP calculation (PBE) on an optimized crystal structure of Ce2BRh6.

The crystal system is hexagonal. The calculated volume comes out at 15.9 A^3/atom. The uncorrected energy is -65.54 eV per cell.

It has space group P-62m (No. 189), with a = 7.0824 Å, b = 7.0824 Å, c = 3.3009 Å, α = 90.00°, β = 90.00° and γ = 120.00°. The asymmetric unit holds Ce at (0.3333, 0.6667, 0.0000), B at (0.0000, 0.0000, 0.5000), Rh at (0.0000, 0.2274, 0.0000) and Rh at (0.0000, 0.6222, 0.5000).


(3)
VASP calculation (PBE) on an optimized crystal structure of CoAgBi2.

The crystal system is tetragonal. Its distance to the lowest polymorph of the same formula is 86 meV/atom. The calculated volume comes out at 25.9 A^3/atom. The uncorrected energy is -63.03 eV per cell.

It has space group I-42d (No. 122), with a = 4.956 Å, b = 4.956 Å, c = 16.873 Å, α = 90.00°, β = 90.00° and γ = 90.00°. The asymmetric unit holds Co at (0.000, 0.000, 0.000), Ag at (0.000, 0.000, 0.500) and Bi at (0.211, 0.250, 0.125).


(4)
VASP calculation (PBE) on an optimized crystal structure of LaZn2H8.

The crystal system is monoclinic. The calculated volume comes out at 9.6 A^3/atom. The uncorrected energy is -68.76 eV per cell.

It has space group C2/m (No. 12), with a = 8.270 Å, b = 4.351 Å, c = 6.315 Å, α = 90.00°, β = 111.59° and γ = 90.00°. The asymmetric unit holds La at (0.000, 0.000, 0.000), Zn at (0.234, 0.000, 0.667), H at (0.050, 0.500, 0.194), H at (0.131, 0.000, 0.396) and H at (0.195, 0.279, 0.835).


(5)
VASP calculation (PBE) on an optimized crystal structure of CsInO2.

The crystal system is monoclinic. The calculated volume comes out at 21.7 A^3/atom. The uncorrected energy is -38.25 eV per cell.

It has space group P2_1/m (No. 11), with a = 6.938 Å, b = 3.343 Å, c = 7.607 Å, α = 90.00°, β = 99.92° and γ = 90.00°. The asymmetric unit holds Cs at (0.200, 0.250, 0.344), In at (0.343, 0.250, 0.859), O at (0.261, 0.750, 0.682) and O at (0.339, 0.750, 0.060).


(6)
VASP calculation (PBE) on an optimized crystal structure of BaZr2RuRh.

The crystal system is tetragonal. The calculated volume comes out at 28.7 A^3/atom. The uncorrected energy is -31.27 eV per cell.

It has space group P4/mmm (No. 123), with a = 4.975 Å, b = 4.975 Å, c = 5.806 Å, α = 90.00°, β = 90.00° and γ = 90.00°. The asymmetric unit holds Ba at (0.000, 0.000, 0.000), Zr at (0.000, 0.500, 0.500), Ru at (0.500, 0.500, 0.000) and Rh at (0.000, 0.000, 0.500).


(7)
VASP calculation (PBE) on an optimized crystal structure of Zr2Al4Au3.

The crystal system is orthorhombic. The calculated volume comes out at 17.9 A^3/atom. The uncorrected energy is -187.83 eV per cell.

It has space group Cmce (No. 64), with a = 5.675 Å, b = 15.216 Å, c = 7.479 Å, α = 90.00°, β = 90.00° and γ = 90.00°. The asymmetric unit holds Zr at (0.000, 0.094, 0.104), Al at (0.000, 0.173, 0.480), Al at (0.250, 0.067, 0.750), Au at (0.000, 0.000, 0.500) and Au at (0.250, 0.239, 0.750).


(8)
VASP calculation (PBE) on an optimized crystal structure of YTlRh2.

The crystal system is tetragonal. The calculated volume comes out at 18.7 A^3/atom. The uncorrected energy is -25.69 eV per cell.

It has space group P4/mmm (No. 123), with a = 4.511 Å, b = 4.511 Å, c = 3.678 Å, α = 90.00°, β = 90.00° and γ = 90.00°. The asymmetric unit holds Y at (0.000, 0.000, 0.000), Tl at (0.500, 0.500, 0.000) and Rh at (0.000, 0.500, 0.500).


(9)
VASP calculation (PBE) on an optimized crystal structure of Nd2Y2Co2Cl.

The crystal system is monoclinic. The calculated volume comes out at 26.4 A^3/atom. The uncorrected energy is -83.72 eV per cell.

It has space group C2/m (No. 12), with a = 13.603 Å, b = 3.733 Å, c = 8.709 Å, α = 90.00°, β = 123.40° and γ = 90.00°. The asymmetric unit holds Nd at (0.037, 0.000, 0.238), Y at (0.230, 0.500, 0.822), Co at (0.098, 0.500, 0.016) and Cl at (0.000, 0.500, 0.500).


(10)
VASP calculation (PBE) on an optimized crystal structure of Sr3Pd6Pb5.

The crystal system is orthorhombic. The calculated volume comes out at 24.2 A^3/atom. The uncorrected energy is -123.50 eV per cell.

It has space group Pmmn (No. 59, origin choice 2), with a = 4.664 Å, b = 13.949 Å, c = 10.422 Å, α = 90.00°, β = 90.00° and γ = 90.00°. The asymmetric unit holds Sr at (0.250, 0.060, 0.249), Sr at (0.250, 0.750, 0.264), Pd at (0.250, 0.085, 0.860), Pd at (0.250, 0.250, 0.025), Pd at (0.250, 0.250, 0.431), Pd at (0.250, 0.631, 0.532), Pb at (0.250, 0.078, 0.590), Pb at (0.250, 0.609, 0.990) and Pb at (0.250, 0.750, 0.749).